(1)
A relaxed Cr3GePb crystal. Source: Alexandria via LeMat-Bulk, functional PBE.

The space group is Pm-3m (No. 221) and the conventional cell measures 5.1400, 5.1400 and 5.1400 Å, with angles of 90.00, 90.00 and 90.00 degrees. The asymmetric unit holds Cr at (0.0000, 0.0000, 0.5000), Ge at (0.5000, 0.5000, 0.5000) and Pb at (0.0000, 0.0000, 0.0000).

Its volume is 136 Å³ per cell. For the formation energy, the calculation gives 1557 meV/atom. The value obtained for the total magnetization is 11.6 μB per cell. Its electronic total energy is -5.882 eV per atom. The calculation puts the density at 5.329 g/cm³. The energy relative to the lowest polymorph listed for this composition is 371 kJ/mol of formula units.


(2)
A relaxed Cr3GePb crystal. Source: Alexandria via LeMat-Bulk, functional PBE.

The space group is Pm-3m (No. 221) and the conventional cell measures 4.7351, 4.7351 and 4.7351 Å, with angles of 90.00, 90.00 and 90.00 degrees. The asymmetric unit holds Cr at (0.0000, 0.0000, 0.5000), Ge at (0.0000, 0.0000, 0.0000) and Pb at (0.5000, 0.5000, 0.5000).

Its volume is 106 Å³ per cell. For the formation energy, the calculation gives 787 meV/atom. The value obtained for the total magnetization is 10.2 μB per cell. Its electronic total energy is -6.652 eV per atom. The calculation puts the density at 6.817 g/cm³. The energy relative to the lowest polymorph listed for this composition is 0 kJ/mol of formula units.


(3)
A relaxed CrGePb2 crystal. Source: Alexandria via LeMat-Bulk, functional PBE.

The space group is I-42d (No. 122) and the conventional cell measures 8.0376, 8.0376 and 6.3038 Å, with angles of 90.00, 90.00 and 90.00 degrees. The asymmetric unit holds Cr at (0.0000, 0.0000, 0.0000), Ge at (0.0000, 0.0000, 0.5000) and Pb at (0.2403, 0.2500, 0.6250).

Its volume is 407 Å³ per cell. For the formation energy, the calculation gives 550 meV/atom. The value obtained for the total magnetization is 16.6 μB per cell. Its electronic total energy is -4.864 eV per atom. The calculation puts the density at 8.792 g/cm³.


(4)
A relaxed Cr2GePb crystal. Source: Alexandria via LeMat-Bulk, functional PBE.

The space group is I-42d (No. 122) and the conventional cell measures 4.0832, 4.0832 and 17.7465 Å, with angles of 90.00, 90.00 and 90.00 degrees. The asymmetric unit holds Cr at (0.1346, 0.2500, 0.1250), Ge at (0.0000, 0.0000, 0.0000) and Pb at (0.0000, 0.0000, 0.5000).

Its volume is 296 Å³ per cell. For the formation energy, the calculation gives 789 meV/atom. The value obtained for the total magnetization is 0.0 μB per cell. Its electronic total energy is -6.104 eV per atom. The calculation puts the density at 8.617 g/cm³.


(5)
A relaxed CrGe3Pb crystal. Source: Alexandria via LeMat-Bulk, functional PBE.

The space group is Pm-3m (No. 221) and the conventional cell measures 4.7611, 4.7611 and 4.7611 Å, with angles of 90.00, 90.00 and 90.00 degrees. The asymmetric unit holds Cr at (0.0000, 0.0000, 0.0000), Ge at (0.0000, 0.0000, 0.5000) and Pb at (0.5000, 0.5000, 0.5000).

Its volume is 108 Å³ per cell. For the formation energy, the calculation gives 305 meV/atom. The value obtained for the total magnetization is 0.2 μB per cell. Its electronic total energy is -5.132 eV per atom. The calculation puts the density at 7.341 g/cm³. The energy relative to the lowest polymorph listed for this composition is 0 kJ/mol of formula units.


(6)
A relaxed CrGe2Pt7Pb2 crystal. Source: Alexandria via LeMat-Bulk, functional PBE.

The space group is C2/m (No. 12) and the conventional cell measures 5.5264, 5.5271 and 15.8064 Å, with angles of 90.00, 100.01 and 90.00 degrees. The asymmetric unit holds Cr at (0.0000, 0.0000, 0.0000), Ge at (0.1145, 0.5000, 0.2310), Pt at (0.0000, 0.5000, 0.0000), Pt at (0.1869, 0.2500, 0.8726), Pt at (0.1932, 0.5000, 0.3869) and Pb at (0.2108, 0.0000, 0.4222).

Its volume is 475 Å³ per cell. For the formation energy, the calculation gives -296 meV/atom. The value obtained for the total magnetization is 4.5 μB per cell. Its electronic total energy is -6.009 eV per atom. The calculation puts the density at 13.811 g/cm³.


(7)
A relaxed TiCrGePb2 crystal. Source: Alexandria via LeMat-Bulk, functional PBE.

The space group is P4/mmm (No. 123) and the conventional cell measures 5.4614, 5.4614 and 4.6077 Å, with angles of 90.00, 90.00 and 90.00 degrees. The asymmetric unit holds Ti at (0.0000, 0.0000, 0.0000), Cr at (0.5000, 0.5000, 0.0000), Ge at (0.5000, 0.5000, 0.5000) and Pb at (0.0000, 0.5000, 0.5000).

Its volume is 137 Å³ per cell. For the formation energy, the calculation gives 1008 meV/atom. The value obtained for the total magnetization is 3.6 μB per cell. Its electronic total energy is -4.902 eV per atom. The calculation puts the density at 7.091 g/cm³.


(8)
A relaxed CrGePbW2 crystal. Source: Alexandria via LeMat-Bulk, functional PBE.

The space group is P4/mmm (No. 123) and the conventional cell measures 5.0599, 5.0599 and 5.1281 Å, with angles of 90.00, 90.00 and 90.00 degrees. The asymmetric unit holds Cr at (0.0000, 0.0000, 0.0000), Ge at (0.5000, 0.5000, 0.0000), Pb at (0.5000, 0.5000, 0.5000) and W at (0.0000, 0.5000, 0.5000).

Its volume is 131 Å³ per cell. For the formation energy, the calculation gives 3274 meV/atom. The value obtained for the total magnetization is 0.1 μB per cell. Its electronic total energy is -5.497 eV per atom. The calculation puts the density at 8.847 g/cm³.


no.,D(E_F) (states/eV/atom)
1,1.27
2,0.63
3,0.53
4,1.31
5,1.01
6,0.60
7,1.39
8,2.19